An optimized crystal structure of ScZn2MoO6, computed with GGA+U.

```
20
Lattice="5.676 0.079 0.082 1.936 6.884 0.615 1.936 0.359 6.902" Properties=species:S:1:pos:R:3 pbc="T T T"
Sc 3.355 6.273 1.243
Sc 6.193 1.049 6.356
Zn 4.597 5.740 4.860
Zn 2.113 2.638 1.641
Zn 4.951 1.582 2.738
Zn 7.435 4.683 5.957
Mo 3.355 2.185 5.182
Mo 6.193 5.137 2.417
O 4.405 7.131 6.196
O 2.305 1.355 0.202
O 5.143 0.191 1.403
O 7.243 5.967 7.397
O 4.457 6.025 2.921
O 2.253 4.587 1.429
O 5.091 1.297 4.678
O 7.295 2.735 6.170
O 3.677 4.069 5.326
O 3.032 2.111 3.294
O 5.871 3.253 2.272
O 6.516 5.211 4.305
```

DOS(E_F)   0.00 states/eV/f.u.
SG   C2/c (15)
Calculated volume   13.32 A^3/atom
Electronic total energy   -6.522 eV/atom